Record 1
DFT (PBE) results for a relaxed structure of KTaP2S8.

Cell and atoms, written as extended XYZ:
```
12
Lattice="3.0076 1.7364 9.6136 -3.0076 1.7364 9.6136 0.0000 -3.4728 9.6136" Properties=species:S:1:pos:R:3 pbc="T T T"
K 0.0000 0.0000 0.0000
Ta 0.0000 0.0000 14.4204
P 0.0000 0.0000 6.8575
P 0.0000 0.0000 21.9833
S -1.0113 -1.7498 13.0360
S -2.0210 0.0010 15.8048
S 0.0000 0.0000 8.8280
S -1.0097 1.7507 13.0360
S 1.0097 -1.7507 15.8048
S 0.0000 0.0000 20.0129
S 2.0210 -0.0010 13.0360
S 1.0113 1.7498 15.8048
```

Results
Symmetry: R-3
Formation energy (no corrections): -0.499 eV/atom
E: -0.38449 Ry per atom

=====

Record 2
DFT (PBE) results for a relaxed structure of Tl3Cd4Hg.

Cell and atoms, written as extended XYZ:
```
8
Lattice="-3.0973 4.5049 4.0183 3.0973 -4.5049 4.0183 3.0973 4.5049 -4.0183" Properties=species:S:1:pos:R:3 pbc="T T T"
Tl 0.0000 0.0000 0.0000
Tl 0.0000 2.7438 1.9594
Tl 0.0000 6.2661 1.9594
Cd 1.4969 4.5049 -0.7094
Cd 1.6004 0.0000 3.3089
Cd 3.0973 2.8502 1.3541
Cd 0.0000 1.6547 5.3724
Hg 3.0973 0.0000 0.6370
```

Results
Symmetry: Imm2
Calculated formation energy: 0.06 eV per atom
E: -0.09697 Ry per atom

=====

Record 3
DFT (PBE) results for a relaxed structure of AcZnNi4.

Cell and atoms, written as extended XYZ:
```
12
Lattice="6.8800 0.0000 0.0000 0.0000 3.9194 0.0000 0.0000 0.0000 7.4814" Properties=species:S:1:pos:R:3 pbc="T T T"
Ac 1.7200 0.0000 1.1018
Ac 5.1600 0.0000 6.3796
Zn 1.7200 0.0000 5.4276
Zn 5.1600 0.0000 2.0538
Ni 0.0000 0.0000 3.7407
Ni 0.3345 1.9597 5.3914
Ni 1.7200 1.9597 3.4272
Ni 3.1055 1.9597 5.3914
Ni 3.4400 0.0000 3.7407
Ni 3.7745 1.9597 2.0900
Ni 5.1600 1.9597 4.0542
Ni 6.5455 1.9597 2.0900
```

Results
Symmetry: Pmma
Calculated formation energy: -0.10 eV per atom
E: -0.35645 Ry per atom

=====

Record 4
DFT (PBE) results for a relaxed structure of PrPdAu4.

Cell and atoms, written as extended XYZ:
```
6
Lattice="0.0000 3.9265 3.9265 3.9265 0.0000 3.9265 3.9265 3.9265 0.0000" Properties=species:S:1:pos:R:3 pbc="T T T"
Pr 0.0000 0.0000 0.0000
Pd 5.8897 5.8897 5.8897
Au 2.9494 2.9494 2.9494
Au 4.9035 4.9035 2.9494
Au 4.9035 2.9494 4.9035
Au 2.9494 4.9035 4.9035
```

Results
Symmetry: F-43m
Calculated formation energy: -0.47 eV per atom
E: -0.31701 Ry per atom

=====

E of number 1 (KTaP2S8)?
-0.38449 Ry per atom

=====

What is the E in the second record?
-0.09697 Ry per atom

=====

Repeat the first record exactly.
DFT (PBE) results for a relaxed structure of KTaP2S8.

Cell and atoms, written as extended XYZ:
```
12
Lattice="3.0076 1.7364 9.6136 -3.0076 1.7364 9.6136 0.0000 -3.4728 9.6136" Properties=species:S:1:pos:R:3 pbc="T T T"
K 0.0000 0.0000 0.0000
Ta 0.0000 0.0000 14.4204
P 0.0000 0.0000 6.8575
P 0.0000 0.0000 21.9833
S -1.0113 -1.7498 13.0360
S -2.0210 0.0010 15.8048
S 0.0000 0.0000 8.8280
S -1.0097 1.7507 13.0360
S 1.0097 -1.7507 15.8048
S 0.0000 0.0000 20.0129
S 2.0210 -0.0010 13.0360
S 1.0113 1.7498 15.8048
```

Results
Symmetry: R-3
Formation energy (no corrections): -0.499 eV/atom
E: -0.38449 Ry per atom